1.
A geometry-optimized Pm2NdY3S6 structure, computed with GGA-PBE.

formation energy without anion corrections	-2.02	eV per atom
space group	C2/m, No. 12
uncorrected energy	-6.889	eV per atom

```
data_Pm2NdY3S6
_symmetry_space_group_name_H-M 'P 1'
_symmetry_Int_Tables_number 1
_cell_length_a 6.877
_cell_length_b 6.877
_cell_length_c 6.938
_cell_angle_alpha 99.49
_cell_angle_beta 99.49
_cell_angle_gamma 120.17
loop_
_symmetry_equiv_pos_as_xyz
'x,y,z'
loop_
_atom_site_label
_atom_site_type_symbol
_atom_site_fract_x
_atom_site_fract_y
_atom_site_fract_z
S1 S 0.912 0.577 0.738
Y1 Y 0.500 0.500 0.500
S2 S 0.752 0.752 0.262
Pm1 Pm 0.333 0.667 0.000
Y2 Y 0.834 0.166 0.500
Nd1 Nd 0.000 0.000 0.000
S3 S 0.423 0.088 0.262
S4 S 0.088 0.423 0.262
S5 S 0.248 0.248 0.738
S6 S 0.577 0.912 0.738
Y3 Y 0.166 0.834 0.500
Pm2 Pm 0.667 0.333 0.000
```

***

2.
A geometry-optimized PmNd2Y3S6 structure, computed with GGA-PBE.

formation energy without anion corrections	-2.02	eV per atom
space group	C2/m, No. 12
uncorrected energy	-6.887	eV per atom

```
data_PmNd2Y3S6
_symmetry_space_group_name_H-M 'P 1'
_symmetry_Int_Tables_number 1
_cell_length_a 3.960
_cell_length_b 8.045
_cell_length_c 8.934
_cell_angle_alpha 103.80
_cell_angle_beta 102.81
_cell_angle_gamma 90.00
loop_
_symmetry_equiv_pos_as_xyz
'x,y,z'
loop_
_atom_site_label
_atom_site_type_symbol
_atom_site_fract_x
_atom_site_fract_y
_atom_site_fract_z
S1 S 0.337 0.409 0.673
Pm1 Pm 0.500 0.000 0.000
Y1 Y 0.500 0.500 0.000
S2 S 0.331 0.926 0.662
Nd1 Nd 0.167 0.333 0.334
S3 S 0.997 0.256 0.993
S4 S 0.669 0.074 0.338
Nd2 Nd 0.833 0.667 0.666
Y2 Y 0.833 0.167 0.666
Y3 Y 0.167 0.833 0.334
S5 S 0.663 0.591 0.327
S6 S 0.003 0.744 0.007
```

***

3.
A geometry-optimized PmNd3Y3S8 structure, computed with GGA-PBE.

formation energy without anion corrections	-2.05	eV per atom
space group	R-3m, No. 166
uncorrected energy	-6.810	eV per atom

```
data_PmNd3Y3S8
_symmetry_space_group_name_H-M 'P 1'
_symmetry_Int_Tables_number 1
_cell_length_a 7.950
_cell_length_b 7.950
_cell_length_c 8.006
_cell_angle_alpha 119.77
_cell_angle_beta 90.00
_cell_angle_gamma 120.00
loop_
_symmetry_equiv_pos_as_xyz
'x,y,z'
loop_
_atom_site_label
_atom_site_type_symbol
_atom_site_fract_x
_atom_site_fract_y
_atom_site_fract_z
Y1 Y 0.000 0.500 0.500
S1 S 0.748 0.496 0.257
S2 S 0.252 0.991 0.743
Pm1 Pm 0.000 0.000 0.500
Nd1 Nd 0.500 0.500 0.000
S3 S 0.261 0.009 0.257
Y2 Y 0.500 0.000 0.500
S4 S 0.252 0.504 0.743
Nd2 Nd 0.000 0.500 0.000
S5 S 0.254 0.509 0.263
S6 S 0.748 0.009 0.257
Nd3 Nd 0.000 0.000 0.000
S7 S 0.746 0.491 0.737
Y3 Y 0.500 0.500 0.500
S8 S 0.739 0.991 0.743
```

***

4.
A geometry-optimized Pm5NdSb6 structure, computed with GGA-PBE.

formation energy without anion corrections	-1.19	eV per atom
space group	C2/m, No. 12
uncorrected energy	-5.626	eV per atom

```
data_Pm5NdSb6
_symmetry_space_group_name_H-M 'P 1'
_symmetry_Int_Tables_number 1
_cell_length_a 7.791
_cell_length_b 7.791
_cell_length_c 7.791
_cell_angle_alpha 60.00
_cell_angle_beta 80.40
_cell_angle_gamma 70.51
loop_
_symmetry_equiv_pos_as_xyz
'x,y,z'
loop_
_atom_site_label
_atom_site_type_symbol
_atom_site_fract_x
_atom_site_fract_y
_atom_site_fract_z
Sb1 Sb 0.251 0.582 0.334
Pm1 Pm 0.500 0.166 0.668
Sb2 Sb 0.750 0.749 0.000
Sb3 Sb 0.250 0.251 0.000
Pm2 Pm 0.000 0.333 0.334
Pm3 Pm 0.500 0.834 0.332
Sb4 Sb 0.749 0.084 0.334
Pm4 Pm 0.500 0.500 0.000
Pm5 Pm 0.000 0.667 0.666
Nd1 Nd 0.000 0.000 0.000
Sb5 Sb 0.749 0.418 0.666
Sb6 Sb 0.251 0.916 0.666
```

***

5.
A geometry-optimized PmNd5Sb4 structure, computed with GGA-PBE.

formation energy without anion corrections	-0.80	eV per atom
space group	C2/m, No. 12
uncorrected energy	-5.306	eV per atom

```
data_PmNd5Sb4
_symmetry_space_group_name_H-M 'P 1'
_symmetry_Int_Tables_number 1
_cell_length_a 4.430
_cell_length_b 8.749
_cell_length_c 9.892
_cell_angle_alpha 104.89
_cell_angle_beta 102.94
_cell_angle_gamma 90.00
loop_
_symmetry_equiv_pos_as_xyz
'x,y,z'
loop_
_atom_site_label
_atom_site_type_symbol
_atom_site_fract_x
_atom_site_fract_y
_atom_site_fract_z
Nd1 Nd 0.174 0.347 0.347
Sb1 Sb 0.006 0.255 0.012
Nd2 Nd 0.836 0.169 0.673
Sb2 Sb 0.331 0.910 0.662
Pm1 Pm 0.500 0.000 0.000
Nd3 Nd 0.164 0.831 0.327
Nd4 Nd 0.826 0.653 0.653
Sb3 Sb 0.994 0.745 0.988
Sb4 Sb 0.669 0.090 0.338
Nd5 Nd 0.500 0.500 0.000
```

***

6.
A geometry-optimized PmNd2Sb2 structure, computed with GGA-PBE.

formation energy without anion corrections	-0.87	eV per atom
space group	Ibam, No. 72
uncorrected energy	-5.377	eV per atom

```
data_PmNd2Sb2
_symmetry_space_group_name_H-M 'P 1'
_symmetry_Int_Tables_number 1
_cell_length_a 6.390
_cell_length_b 8.791
_cell_length_c 8.068
_cell_angle_alpha 123.01
_cell_angle_beta 113.33
_cell_angle_gamma 90.00
loop_
_symmetry_equiv_pos_as_xyz
'x,y,z'
loop_
_atom_site_label
_atom_site_type_symbol
_atom_site_fract_x
_atom_site_fract_y
_atom_site_fract_z
Sb1 Sb 0.610 0.328 0.221
Nd1 Nd 0.150 0.291 0.300
Sb2 Sb 0.890 0.107 0.779
Sb3 Sb 0.390 0.672 0.779
Nd2 Nd 0.850 0.709 0.700
Nd3 Nd 0.350 0.991 0.700
Nd4 Nd 0.650 0.009 0.300
Pm1 Pm 0.250 0.500 0.000
Pm2 Pm 0.750 0.500 0.000
Sb4 Sb 0.110 0.893 0.221
```